P) ## Zn2Te2H (GGA-PBE)

Data for a geometry-optimized Zn2Te2H structure.

Unit cell a=4.765 b=4.765 c=11.454 alpha=90.00 beta=90.00 gamma=90.00
Space group I4/mmm (No. 139)
Symmetry-distinct sites (fractional):
Zn  0.000  0.000  0.104 (multiplicity 4)
Te  0.000  0.500  0.250 (multiplicity 4)
H  0.000  0.000  0.500 (multiplicity 2)

Results
Theoretical density in g/cm3: 4.94
M_tot in μB per formula unit: 1.0


Q) ## Zn2Te2H (GGA-PBE)

Data for a geometry-optimized Zn2Te2H structure.

Unit cell a=5.998 b=5.998 c=5.683 alpha=90.00 beta=90.00 gamma=90.00
Space group P4/mbm (No. 127)
Symmetry-distinct sites (fractional):
Zn  0.158  0.342  0.000 (multiplicity 4)
Te  0.231  0.269  0.500 (multiplicity 4)
H  0.000  0.000  0.000 (multiplicity 2)

Results
Theoretical density in g/cm3: 6.29
M_tot in μB per formula unit: 0.0


Which structure loses on stability? P) does.


P) ## Zr2TeH2 (GGA-PBE)

Data for a geometry-optimized Zr2TeH2 structure.

Unit cell a=6.712 b=6.712 c=3.323 alpha=90.00 beta=90.00 gamma=90.00
Space group P4/mbm (No. 127)
Symmetry-distinct sites (fractional):
Zr  0.150  0.350  0.000 (multiplicity 4)
Te  0.000  0.000  0.500 (multiplicity 2)
H  0.093  0.593  0.500 (multiplicity 4)

Results
Theoretical density in g/cm3: 6.92
M_tot in μB per formula unit: 0.0


Q) ## Zr2TeH2 (GGA-PBE)

Data for a geometry-optimized Zr2TeH2 structure.

Unit cell a=4.244 b=4.244 c=8.986 alpha=90.00 beta=90.00 gamma=90.00
Space group I4/mmm (No. 139)
Symmetry-distinct sites (fractional):
Zr  0.000  0.500  0.250 (multiplicity 4)
Te  0.000  0.000  0.000 (multiplicity 2)
H  0.000  0.000  0.326 (multiplicity 4)

Results
Theoretical density in g/cm3: 6.40
M_tot in μB per formula unit: 0.0


Which structure loses on stability? P) does.


P) ## Zr2TeH (GGA-PBE)

Data for a geometry-optimized Zr2TeH structure.

Unit cell a=4.179 b=4.179 c=8.014 alpha=90.00 beta=90.00 gamma=90.00
Space group P4/nmm (No. 129, origin choice 2)
Symmetry-distinct sites (fractional):
Zr  0.250  0.250  0.146 (multiplicity 2)
Zr  0.250  0.750  0.500 (multiplicity 2)
Te  0.250  0.250  0.783 (multiplicity 2)
H  0.250  0.250  0.405 (multiplicity 2)

Results
Theoretical density in g/cm3: 7.38
M_tot in μB per formula unit: 0.0


Q) ## Zr2TeH (GGA-PBE)

Data for a geometry-optimized Zr2TeH structure.

Unit cell a=3.5361 b=3.5361 c=20.2569 alpha=90.00 beta=90.00 gamma=120.00
Space group R-3m (No. 166, hexagonal axes)
Symmetry-distinct sites (fractional):
Zr  0.0000  0.0000  0.2275 (multiplicity 6)
Te  0.0000  0.0000  0.0000 (multiplicity 3)
H  0.0000  0.0000  0.5000 (multiplicity 3)

Results
Theoretical density in g/cm3: 7.06
M_tot in μB per formula unit: 0.0


Which structure loses on stability? Q) does.


P) ## Zr2TeH (GGA-PBE)

Data for a geometry-optimized Zr2TeH structure.

Unit cell a=6.723 b=6.723 c=6.368 alpha=90.00 beta=90.00 gamma=90.00
Space group I-42d (No. 122)
Symmetry-distinct sites (fractional):
Zr  0.148  0.750  0.125 (multiplicity 8)
Te  0.000  0.000  0.500 (multiplicity 4)
H  0.000  0.000  0.000 (multiplicity 4)

Results
Theoretical density in g/cm3: 7.18
M_tot in μB per formula unit: 0.0


Q) ## Zr2TeH (GGA-PBE)

Data for a geometry-optimized Zr2TeH structure.

Unit cell a=3.756 b=10.855 c=3.806 alpha=90.00 beta=90.00 gamma=90.00
Space group Pmn2_1 (No. 31)
Symmetry-distinct sites (fractional):
Zr  0.000  0.080  0.000 (multiplicity 2)
Zr  0.000  0.750  0.004 (multiplicity 2)
Te  0.000  0.365  0.003 (multiplicity 2)
H  0.000  0.914  0.739 (multiplicity 2)

Results
Theoretical density in g/cm3: 6.66
M_tot in μB per formula unit: 0.0


Which structure loses on stability? P) does.


P) ## ThH4 (GGA-PBE)

Data for a geometry-optimized ThH4 structure.

Unit cell a=4.253 b=4.253 c=4.253 alpha=90.00 beta=90.00 gamma=90.00
Space group Pm-3m (No. 221)
Symmetry-distinct sites (fractional):
Th  0.000  0.000  0.000 (multiplicity 1)
H  0.000  0.000  0.500 (multiplicity 3)
H  0.500  0.500  0.500 (multiplicity 1)

Results
Theoretical density in g/cm3: 5.09
M_tot in μB per formula unit: 0.0


Q) ## ThH4 (GGA-PBE)

Data for a geometry-optimized ThH4 structure.

Unit cell a=3.7557 b=3.7557 c=11.0773 alpha=90.00 beta=90.00 gamma=120.00
Space group R-3m (No. 166, hexagonal axes)
Symmetry-distinct sites (fractional):
Th  0.0000  0.0000  0.0000 (multiplicity 3)
H  0.0000  0.0000  0.2151 (multiplicity 6)
H  0.0000  0.0000  0.3994 (multiplicity 6)

Results
Theoretical density in g/cm3: 8.69
M_tot in μB per formula unit: 0.0


Which structure loses on stability? P) does.


P) ## Th3TlH3 (GGA-PBE)

Data for a geometry-optimized Th3TlH3 structure.

Unit cell a=6.532 b=6.532 c=6.532 alpha=90.00 beta=90.00 gamma=90.00
Space group Pm-3n (No. 223)
Symmetry-distinct sites (fractional):
Th  0.000  0.250  0.500 (multiplicity 6)
Tl  0.000  0.000  0.000 (multiplicity 2)
H  0.000  0.500  0.250 (multiplicity 6)

Results
Theoretical density in g/cm3: 10.77
M_tot in μB per formula unit: 1.0


Q) ## Th3TlH3 (GGA-PBE)

Data for a geometry-optimized Th3TlH3 structure.

Unit cell a=6.2022 b=6.2022 c=26.4433 alpha=90.00 beta=90.00 gamma=120.00
Space group R-3 (No. 148, hexagonal axes)
Symmetry-distinct sites (fractional):
Th  0.0005  0.6655  0.2679 (multiplicity 18)
Tl  0.0000  0.0000  0.1669 (multiplicity 6)
H  0.0000  0.3323  0.6443 (multiplicity 18)

Results
Theoretical density in g/cm3: 10.22
M_tot in μB per formula unit: 0.0


Which structure loses on stability? Q) does.